[1]
Compound: Pm2DyY3Se6
Source: Alexandria via LeMat-Bulk
Functional: PBE
Structure: optimized geometry

As for the formation energy from raw total energies: -21.44 eV per formula unit. As for the mass density: 6.67 g/cm³.

Lattice parameters (Å, degrees): 17.9649 4.1032 8.2912 90.00 103.52 90.00
Closest atoms and distances in Å follow each position.
Space group C2/m (No. 12)
Inequivalent atoms, fractional coordinates:
Pm  0.1682  0.0000  0.3359 [4 per cell]  6 Se 2.94-2.99
Dy  0.0000  0.5000  0.0000 [2 per cell]  6 Se 2.88-2.91
Y  0.0000  0.5000  0.5000 [2 per cell]  6 Se 2.86-2.92
Y  0.1695  0.0000  0.8330 [4 per cell]  6 Se 2.87-2.91
Se  0.0028  0.0000  0.7526 [4 per cell]  2 Dy 2.91, 3 Y 2.91-2.92, 1 Pm 2.99
Se  0.1635  0.5000  0.5889 [4 per cell]  3 Y 2.86-2.87, 3 Pm 2.94-2.95
Se  0.1649  0.5000  0.0755 [4 per cell]  1 Dy 2.88, 3 Y 2.89, 2 Pm 2.97

[2]
Compound: Pm2DyYSe4
Source: Alexandria via LeMat-Bulk
Functional: PBE
Structure: optimized geometry

As for the formation energy from raw total energies: -14.38 eV per formula unit. As for the mass density: 7.10 g/cm³.

Lattice parameters (Å, degrees): 7.1314 4.0796 7.2790 90.00 108.76 90.00
Closest atoms and distances in Å follow each position.
Space group P2/m (No. 10)
Inequivalent atoms, fractional coordinates:
Pm  0.0000  0.0000  0.0000 [1 per cell]  6 Se 2.97
Pm  0.5000  0.5000  0.0000 [1 per cell]  6 Se 2.98
Dy  0.0000  0.5000  0.5000 [1 per cell]  6 Se 2.88
Y  0.5000  0.0000  0.5000 [1 per cell]  6 Se 2.88-2.89
Se  0.2456  0.0000  0.7387 [2 per cell]  2 Dy 2.88, 1 Y 2.89, 3 Pm 2.97-2.98
Se  0.2532  0.5000  0.2609 [2 per cell]  1 Dy 2.88, 2 Y 2.88, 3 Pm 2.97-2.98

[3]
Compound: Pm3Dy2YSe6
Source: Alexandria via LeMat-Bulk
Functional: PBE
Structure: optimized geometry

As for the formation energy from raw total energies: -21.58 eV per formula unit. As for the mass density: 7.31 g/cm³.

Lattice parameters (Å, degrees): 18.0876 4.1094 8.3434 90.00 104.26 90.00
Closest atoms and distances in Å follow each position.
Space group C2/m (No. 12)
Inequivalent atoms, fractional coordinates:
Pm  0.0000  0.0000  0.0000 [2 per cell]  6 Se 2.97
Pm  0.1664  0.5000  0.3330 [4 per cell]  6 Se 2.97-2.98
Dy  0.1667  0.5000  0.8332 [4 per cell]  6 Se 2.88
Y  0.0000  0.0000  0.5000 [2 per cell]  6 Se 2.88-2.89
Se  0.0027  0.5000  0.7444 [4 per cell]  1 Dy 2.88, 2 Y 2.89, 3 Pm 2.97
Se  0.1645  0.0000  0.5898 [4 per cell]  2 Dy 2.88, 1 Y 2.88, 3 Pm 2.97
Se  0.1692  0.0000  0.0767 [4 per cell]  3 Dy 2.88, 3 Pm 2.97-2.98

[4]
Compound: Pm2DyYSe6
Source: Alexandria via LeMat-Bulk
Functional: PBE
Structure: optimized geometry

As for the formation energy from raw total energies: -18.52 eV per formula unit. As for the mass density: 5.56 g/cm³.

Lattice parameters (Å, degrees): 7.3217 7.3217 19.5772 90.00 90.00 120.00
Closest atoms and distances in Å follow each position.
Space group R3 (No. 146, hexagonal axes)
Inequivalent atoms, fractional coordinates:
Pm  0.0000  0.0000  0.0000 [3 per cell]  6 Se 2.92-3.00
Pm  0.0000  0.0000  0.4999 [3 per cell]  6 Se 2.92-3.00
Dy  0.0000  0.0000  0.1994 [3 per cell]  6 Se 2.84-2.90
Y  0.0000  0.0000  0.6993 [3 per cell]  6 Se 2.85-2.91
Se  0.0385  0.6811  0.2697 [9 per cell]  1 Dy 2.84, 1 Y 2.91, 2 Pm 2.92-3.00
Se  0.0388  0.3578  0.7699 [9 per cell]  1 Y 2.85, 1 Dy 2.90, 2 Pm 2.92-3.00

[5]
Compound: PmDy2YSe6
Source: Alexandria via LeMat-Bulk
Functional: PBE
Structure: optimized geometry

As for the formation energy from raw total energies: -18.53 eV per formula unit. As for the mass density: 5.77 g/cm³.

Lattice parameters (Å, degrees): 7.2648 7.2648 19.5211 90.00 90.00 120.00
Closest atoms and distances in Å follow each position.
Space group R3 (No. 146, hexagonal axes)
Inequivalent atoms, fractional coordinates:
Pm  0.0000  0.0000  0.0000 [3 per cell]  6 Se 2.91-3.00
Dy  0.0000  0.0000  0.2995 [3 per cell]  6 Se 2.85-2.91
Dy  0.0000  0.0000  0.8017 [3 per cell]  6 Se 2.84-2.91
Y  0.0000  0.0000  0.4966 [3 per cell]  6 Se 2.86-2.91
Se  0.0028  0.3080  0.8973 [9 per cell]  2 Dy 2.85-2.91, 1 Y 2.86, 1 Pm 3.00
Se  0.0134  0.7065  0.3978 [9 per cell]  2 Dy 2.84-2.91, 1 Pm 2.91, 1 Y 2.91

[6]
Compound: PmDyY2Se4
Source: Alexandria via LeMat-Bulk
Functional: PBE
Structure: optimized geometry

As for the formation energy from raw total energies: -14.20 eV per formula unit. As for the mass density: 6.77 g/cm³.

Lattice parameters (Å, degrees): 7.1283 4.0614 7.1768 90.00 108.86 90.00
Closest atoms and distances in Å follow each position.
Space group P2/m (No. 10)
Inequivalent atoms, fractional coordinates:
Pm  0.0000  0.0000  0.0000 [1 per cell]  6 Se 2.95
Dy  0.0000  0.5000  0.5000 [1 per cell]  6 Se 2.90
Y  0.5000  0.0000  0.5000 [1 per cell]  6 Se 2.87
Y  0.5000  0.5000  0.0000 [1 per cell]  6 Se 2.91-2.92
Se  0.2524  0.0000  0.7457 [2 per cell]  3 Y 2.87-2.91, 2 Dy 2.90, 1 Pm 2.95
Se  0.2563  0.5000  0.2572 [2 per cell]  3 Y 2.87-2.92, 1 Dy 2.90, 2 Pm 2.95

[7]
Compound: PmDy3Y2Se6
Source: Alexandria via LeMat-Bulk
Functional: PBE
Structure: optimized geometry

As for the formation energy from raw total energies: -21.25 eV per formula unit. As for the mass density: 7.30 g/cm³.

Lattice parameters (Å, degrees): 7.0697 12.3164 7.1145 90.00 109.43 90.00
Closest atoms and distances in Å follow each position.
Space group C2/m (No. 12)
Inequivalent atoms, fractional coordinates:
Pm  0.0000  0.0000  0.0000 [2 per cell]  6 Se 2.94-2.96
Dy  0.0000  0.1620  0.5000 [4 per cell]  6 Se 2.87-2.89
Dy  0.0000  0.5000  0.5000 [2 per cell]  6 Se 2.85-2.90
Y  0.0000  0.3341  0.0000 [4 per cell]  6 Se 2.88-2.91
Se  0.2442  0.5000  0.2521 [4 per cell]  3 Dy 2.85-2.87, 2 Y 2.88, 1 Pm 2.94
Se  0.2449  0.3298  0.7444 [8 per cell]  3 Dy 2.88-2.90, 2 Y 2.90-2.91, 1 Pm 2.96

[8]
Compound: Pm3DySi3
Source: Alexandria via LeMat-Bulk
Functional: PBE
Structure: optimized geometry

As for the formation energy from raw total energies: -3.46 eV per formula unit. As for the mass density: 6.35 g/cm³.

Lattice parameters (Å, degrees): 9.9559 9.9559 6.2292 90.00 90.00 120.00
Closest atoms and distances in Å follow each position.
Space group R3m (No. 160, hexagonal axes)
Inequivalent atoms, fractional coordinates:
Pm  0.1864  0.3729  0.0000 [9 per cell]  6 Si 2.96-3.27
Dy  0.0000  0.0000  0.7441 [3 per cell]  6 Si 2.96-3.19
Si  0.0003  0.5001  0.1894 [9 per cell]  2 Dy 2.96-3.19, 6 Pm 2.96-3.27

[9]
Compound: Pm2DySi
Source: Alexandria via LeMat-Bulk
Functional: PBE
Structure: optimized geometry

As for the formation energy from raw total energies: -1.01 eV per formula unit. As for the mass density: 7.64 g/cm³.

Lattice parameters (Å, degrees): 4.6929 4.6929 4.7446 90.00 90.00 90.00
Closest atoms and distances in Å follow each position.
Space group P4/mmm (No. 123)
Inequivalent atoms, fractional coordinates:
Pm  0.0000  0.5000  0.0000 [2 per cell]  4 Pm 3.32, 4 Dy 3.34, 4 Si 3.34
Dy  0.0000  0.0000  0.5000 [1 per cell]  4 Si 3.32, 8 Pm 3.34
Si  0.5000  0.5000  0.5000 [1 per cell]  4 Dy 3.32, 8 Pm 3.34

[10]
Compound: Pm2DySi2
Source: Alexandria via LeMat-Bulk
Functional: PBE
Structure: optimized geometry

As for the formation energy from raw total energies: -3.47 eV per formula unit. As for the mass density: 6.74 g/cm³.

Lattice parameters (Å, degrees): 7.5914 7.5914 4.3505 90.00 90.00 90.00
Closest atoms and distances in Å follow each position.
Space group P4/mbm (No. 127)
Inequivalent atoms, fractional coordinates:
Pm  0.1769  0.3231  0.0000 [4 per cell]  6 Si 3.12-3.14
Dy  0.0000  0.0000  0.5000 [2 per cell]  4 Si 3.05
Si  0.1144  0.6144  0.5000 [4 per cell]  1 Si 2.46

[11]
Compound: Pm3Dy4Si4
Source: Alexandria via LeMat-Bulk
Functional: PBE
Structure: optimized geometry

As for the formation energy from raw total energies: -5.67 eV per formula unit. As for the mass density: 6.98 g/cm³.

Lattice parameters (Å, degrees): 3.9992 8.6592 16.4519 90.00 90.00 90.00
Closest atoms and distances in Å follow each position.
Space group Immm (No. 71)
Inequivalent atoms, fractional coordinates:
Pm  0.0000  0.0000  0.0000 [2 per cell]  4 Si 3.11
Pm  0.0000  0.5000  0.0993 [4 per cell]  6 Si 3.02-3.23, 1 Pm 3.27
Dy  0.0000  0.3142  0.3279 [8 per cell]  4 Si 2.92-2.97, 1 Dy 3.22
Si  0.0000  0.0000  0.2632 [4 per cell]  6 Dy 2.92-2.97, 2 Pm 3.02
Si  0.0000  0.2249  0.5000 [4 per cell]  2 Dy 2.93, 6 Pm 3.11-3.23